No. 1
{"formula": "ZrZnPd", "functional": "meta-GGA SCAN", "state": "PBEsol geometry", "lattice": [[2.1411, -4.4846, 0.0000], [2.1411, 4.4846, 0.0000], [0.0000, 0.0000, 5.2495]], "species": ["Zr", "Zr", "Zn", "Zn", "Pd", "Pd"], "fractional_positions": [[0.2008, 0.7992, 0.7500], [0.7992, 0.2008, 0.2500], [0.5000, 0.5000, 0.0000], [0.5000, 0.5000, 0.5000], [0.1066, 0.8934, 0.2500], [0.8934, 0.1066, 0.7500]], "formation_energy_ev_per_fu": -2.05, "m_tot_mub_per_fu": 0.0, "vol_a3_per_cell": 101}

No. 2
{"formula": "ZrZn2Pd2", "functional": "meta-GGA SCAN", "state": "PBEsol geometry", "lattice": [[7.3478, 0.0000, 0.0000], [0.0000, 7.3478, 0.0000], [0.0000, 0.0000, 2.8366]], "species": ["Zr", "Zr", "Zn", "Zn", "Zn", "Zn", "Pd", "Pd", "Pd", "Pd"], "fractional_positions": [[0.0000, 0.0000, 0.0000], [0.5000, 0.5000, 0.0000], [0.1186, 0.3814, 0.0000], [0.3814, 0.8814, 0.0000], [0.6186, 0.1186, 0.0000], [0.8814, 0.6186, 0.0000], [0.1794, 0.6794, 0.5000], [0.3206, 0.1794, 0.5000], [0.6794, 0.8206, 0.5000], [0.8206, 0.3206, 0.5000]], "formation_energy_ev_per_fu": -2.69, "m_tot_mub_per_fu": 0.0, "vol_a3_per_cell": 153}

No. 3
{"formula": "Zr9Pd11", "functional": "meta-GGA SCAN", "state": "PBEsol geometry", "lattice": [[-5.1396, 5.1396, 3.3769], [5.1396, -5.1396, 3.3769], [5.1396, 5.1396, -3.3769]], "species": ["Zr", "Zr", "Zr", "Zr", "Zr", "Zr", "Zr", "Zr", "Zr", "Pd", "Pd", "Pd", "Pd", "Pd", "Pd", "Pd", "Pd", "Pd", "Pd", "Pd"], "fractional_positions": [[0.0000, 0.0000, 0.0000], [0.0945, 0.3073, 0.4018], [0.2425, 0.5824, 0.8249], [0.3073, 0.9055, 0.2128], [0.4176, 0.2425, 0.6601], [0.5824, 0.7575, 0.3399], [0.6927, 0.0945, 0.7872], [0.7575, 0.4176, 0.1751], [0.9055, 0.6927, 0.5982], [0.0128, 0.9022, 0.3383], [0.0978, 0.4361, 0.1106], [0.2500, 0.7500, 0.5000], [0.3256, 0.9872, 0.8894], [0.4361, 0.3256, 0.3383], [0.5000, 0.5000, 0.0000], [0.5639, 0.6744, 0.6617], [0.6744, 0.0128, 0.1106], [0.7500, 0.2500, 0.5000], [0.9022, 0.5639, 0.8894], [0.9872, 0.0978, 0.6617]], "formation_energy_ev_per_fu": -15.15, "m_tot_mub_per_fu": 0.0, "vol_a3_per_cell": 357}

No. 4
{"formula": "ZrPd2", "functional": "meta-GGA SCAN", "state": "PBEsol geometry", "lattice": [[-1.7046, 1.7046, 4.3047], [1.7046, -1.7046, 4.3047], [1.7046, 1.7046, -4.3047]], "species": ["Zr", "Pd", "Pd"], "fractional_positions": [[0.0000, 0.0000, 0.0000], [0.3371, 0.3371, 0.0000], [0.6629, 0.6629, 0.0000]], "formation_energy_ev_per_fu": -2.58, "m_tot_mub_per_fu": 0.0, "vol_a3_per_cell": 50}

No. 5
{"formula": "Zr3Pd4", "functional": "meta-GGA SCAN", "state": "PBEsol geometry", "lattice": [[6.2225, 3.5926, 1.8318], [-6.2225, 3.5926, 1.8318], [0.0000, -7.1851, 1.8318]], "species": ["Zr", "Zr", "Zr", "Zr", "Zr", "Zr", "Pd", "Pd", "Pd", "Pd", "Pd", "Pd", "Pd", "Pd"], "fractional_positions": [[0.0074, 0.3972, 0.2674], [0.2674, 0.0074, 0.3972], [0.3972, 0.2674, 0.0074], [0.6028, 0.7326, 0.9926], [0.7326, 0.9926, 0.6028], [0.9926, 0.6028, 0.7326], [0.0000, 0.0000, 0.0000], [0.0766, 0.2374, 0.5609], [0.2374, 0.5609, 0.0766], [0.4391, 0.9234, 0.7626], [0.5000, 0.5000, 0.5000], [0.5609, 0.0766, 0.2374], [0.7626, 0.4391, 0.9234], [0.9234, 0.7626, 0.4391]], "formation_energy_ev_per_fu": -5.68, "m_tot_mub_per_fu": 0.0, "vol_a3_per_cell": 246}

No. 6
{"formula": "Pm", "functional": "meta-GGA SCAN", "state": "PBEsol geometry", "lattice": [[1.7965, 1.0372, 8.6420], [-1.7965, 1.0372, 8.6420], [0.0000, -2.0744, 8.6420]], "species": ["Pm", "Pm", "Pm"], "fractional_positions": [[0.0000, 0.0000, 0.0000], [0.2228, 0.2228, 0.2228], [0.7772, 0.7772, 0.7772]], "formation_energy_ev_per_fu": 0.00, "m_tot_mub_per_fu": 0.0, "vol_a3_per_cell": 97, "relative_energy_mev_per_atom": 3}

No. 7
{"formula": "Pm", "functional": "meta-GGA SCAN", "state": "PBEsol geometry", "lattice": [[3.5804, 0.0000, 0.0000], [-1.7902, 3.1008, 0.0000], [0.0000, 0.0000, 11.5572]], "species": ["Pm", "Pm", "Pm", "Pm"], "fractional_positions": [[0.0000, 0.0000, 0.0000], [0.0000, 0.0000, 0.5000], [0.3333, 0.6667, 0.2500], [0.6667, 0.3333, 0.7500]], "formation_energy_ev_per_fu": 0.00, "m_tot_mub_per_fu": 0.0, "vol_a3_per_cell": 128, "relative_energy_mev_per_atom": 0}

No. 8
{"formula": "Pm", "functional": "meta-GGA SCAN", "state": "PBEsol geometry", "lattice": [[0.0000, 2.5228, 2.5228], [2.5228, 0.0000, 2.5228], [2.5228, 2.5228, 0.0000]], "species": ["Pm"], "fractional_positions": [[0.0000, 0.0000, 0.0000]], "formation_energy_ev_per_fu": 0.01, "m_tot_mub_per_fu": 0.0, "vol_a3_per_cell": 32, "relative_energy_mev_per_atom": 11}

No. 9
{"formula": "PmPr3", "functional": "meta-GGA SCAN", "state": "PBEsol geometry", "lattice": [[-2.5571, 2.5571, 5.1099], [2.5571, -2.5571, 5.1099], [2.5571, 2.5571, -5.1099]], "species": ["Pm", "Pr", "Pr", "Pr"], "fractional_positions": [[0.0000, 0.0000, 0.0000], [0.2500, 0.7500, 0.5000], [0.5000, 0.5000, 0.0000], [0.7500, 0.2500, 0.5000]], "formation_energy_ev_per_fu": 0.04, "m_tot_mub_per_fu": 0.0, "vol_a3_per_cell": 134}

No. 10
{"formula": "PmPrZn2", "functional": "meta-GGA SCAN", "state": "PBEsol geometry", "lattice": [[0.0000, 3.6135, 3.6135], [3.6135, 0.0000, 3.6135], [3.6135, 3.6135, 0.0000]], "species": ["Pm", "Pr", "Zn", "Zn"], "fractional_positions": [[0.0000, 0.0000, 0.0000], [0.5000, 0.5000, 0.5000], [0.2500, 0.2500, 0.2500], [0.7500, 0.7500, 0.7500]], "formation_energy_ev_per_fu": -1.48, "m_tot_mub_per_fu": 0.0, "vol_a3_per_cell": 94}

No. 11
{"formula": "SrPmPt2", "functional": "meta-GGA SCAN", "state": "PBEsol geometry", "lattice": [[0.0000, 3.5564, 3.5564], [3.5564, 0.0000, 3.5564], [3.5564, 3.5564, 0.0000]], "species": ["Sr", "Pm", "Pt", "Pt"], "fractional_positions": [[0.0000, 0.0000, 0.0000], [0.5000, 0.5000, 0.5000], [0.2500, 0.2500, 0.2500], [0.7500, 0.7500, 0.7500]], "formation_energy_ev_per_fu": -4.22, "m_tot_mub_per_fu": 0.0, "vol_a3_per_cell": 90}

No. 12
{"formula": "Pm2ZnPt", "functional": "meta-GGA SCAN", "state": "PBEsol geometry", "lattice": [[0.0000, 3.5558, 3.5558], [3.5558, 0.0000, 3.5558], [3.5558, 3.5558, 0.0000]], "species": ["Pm", "Pm", "Zn", "Pt"], "fractional_positions": [[0.2500, 0.2500, 0.2500], [0.7500, 0.7500, 0.7500], [0.0000, 0.0000, 0.0000], [0.5000, 0.5000, 0.5000]], "formation_energy_ev_per_fu": -3.40, "m_tot_mub_per_fu": 0.0, "vol_a3_per_cell": 90}

Number 1: N(E_F) 0.528 states/eV/atom. Number 2: N(E_F) 0.593 states/eV/atom. Number 3: N(E_F) 0.595 states/eV/atom. Number 4: N(E_F) 0.567 states/eV/atom. Number 5: N(E_F) 0.524 states/eV/atom. Number 6: N(E_F) 1.169 states/eV/atom. Number 7: N(E_F) 1.153 states/eV/atom. Number 8: N(E_F) 1.414 states/eV/atom. Number 9: N(E_F) 1.499 states/eV/atom. Number 10: N(E_F) 0.939 states/eV/atom. Number 11: N(E_F) 0.372 states/eV/atom. Number 12: N(E_F) 0.497 states/eV/atom.